[1]
A relaxed Y8SnBi5 crystal. Source: the Alexandria database, functional GGA-PBE.

abc: 9.3852 9.3852 9.4183
angles: 90.00 90.00 90.00
Closest atoms and distances in Å follow each position.
Space group I-4 (No. 82)
Symmetry-distinct sites (fractional):
Y: 0.0712 0.1750 0.2031 (multiplicity 8)  5 Bi 3.15-3.39, 1 Sn 3.31
Y: 0.0730 0.3172 0.5528 (multiplicity 8)  1 Sn 3.09, 5 Bi 3.14-3.40
Sn: 0.0000 0.0000 0.5000 (multiplicity 2)  8 Y 3.09-3.31
Bi: 0.0000 0.5000 0.2500 (multiplicity 2)  8 Y 3.15-3.40
Bi: 0.1227 0.2507 0.8782 (multiplicity 8)  8 Y 3.14-3.39

Computed properties:
calculated formation energy = -771 meV/atom
volume = 29.628 A^3/atom



[2]
A relaxed Y2Sn2Bi crystal. Source: the Alexandria database, functional GGA-PBE.

abc: 4.1662 4.1662 16.9059
angles: 90.00 90.00 90.00
Closest atoms and distances in Å follow each position.
Space group I4/mmm (No. 139)
Symmetry-distinct sites (fractional):
Y: 0.0000 0.0000 0.1027 (multiplicity 4)  4 Sn 3.25, 4 Bi 3.42, 1 Y 3.47
Sn: 0.0000 0.5000 0.2500 (multiplicity 4)  4 Sn 2.95, 4 Y 3.25
Bi: 0.0000 0.0000 0.5000 (multiplicity 2)  8 Y 3.42

Computed properties:
calculated formation energy = -548 meV/atom
excess energy over the best structure of this formula in the dataset = 14 meV per atom
volume = 29.344 A^3/atom



[3]
A relaxed YSnBi2 crystal. Source: the Alexandria database, functional GGA-PBE.

abc: 7.0441 7.0441 14.2410
angles: 90.00 90.00 90.00
Closest atoms and distances in Å follow each position.
Space group I-42d (No. 122)
Symmetry-distinct sites (fractional):
Y: 0.0000 0.0000 0.0000 (multiplicity 4)  4 Bi 3.09
Sn: 0.0000 0.0000 0.5000 (multiplicity 4)  4 Bi 3.04
Bi: 0.2436 0.2500 0.6250 (multiplicity 8)  2 Sn 3.04, 2 Y 3.09

Computed properties:
calculated formation energy = -40 meV/atom
volume = 44.164 A^3/atom